(1)
First-principles (GGA-PBE) data for crystalline Tb3Pr4YSe8 at its relaxed geometry, as listed in Alexandria via LeMat-Bulk.

V: 1240 Å³/cell
Final energy: -6.019 eV/atom
Magnetic moment: 0.000 μB/f.u.
Crystal system: trigonal

Lattice parameters (Å, degrees): 8.2737 8.2737 20.9224 90.00 90.00 120.00
Closest atoms and distances in Å follow each position.
Space group R-3m (No. 166, hexagonal axes)
One atom of each set of equivalent atoms:
Tb  0.0000  0.5000  0.0000  6 Se 2.89
Pr  0.0000  0.0000  0.5000  6 Se 3.03
Pr  0.0000  0.5000  0.5000  6 Se 3.03
Y  0.0000  0.0000  0.0000  6 Se 2.89
Se  0.0000  0.0000  0.2554  3 Tb 2.89, 3 Pr 3.03
Se  0.9996  0.4998  0.2556  1 Y 2.89, 2 Tb 2.89, 3 Pr 3.03

(2)
First-principles (GGA-PBE) data for crystalline PmGe3Rh2 at its relaxed geometry, as listed in Alexandria via LeMat-Bulk.

V: 434 Å³/cell
Final energy: -6.146 eV/atom
Distance to the lowest polymorph of the same formula: 0.091 eV/atom
Magnetic moment: 0.000 μB/f.u.
Crystal system: orthorhombic
Calculated formation energy: -0.5946 eV per atom

Lattice parameters (Å, degrees): 9.7126 7.8451 5.6990 90.00 90.00 90.00
Closest atoms and distances in Å follow each position.
Space group Cmcm (No. 63)
One atom of each set of equivalent atoms:
Pm  0.0000  0.1606  0.2500  1 Ge 2.89
Ge  0.0000  0.4714  0.7500  2 Ge 2.56, 4 Rh 2.58
Ge  0.1611  0.2127  0.7500  4 Rh 2.48-2.73, 1 Ge 2.56
Rh  0.2204  0.5000  0.0000  6 Ge 2.48-2.73

(3)
First-principles (GGA-PBE) data for crystalline Tb3Nd5Y2 at its relaxed geometry, as listed in Alexandria via LeMat-Bulk.

V: 1373 Å³/cell
Final energy: -4.890 eV/atom
Distance to the lowest polymorph of the same formula: 0.000 eV/atom
Magnetic moment: 0.000 μB/f.u.
Crystal system: monoclinic
Calculated formation energy: 0.1761 eV per atom

Lattice parameters (Å, degrees): 10.7393 14.7869 10.1794 90.00 121.83 90.00
Closest atoms and distances in Å follow each position.
Space group C2/c (No. 15)
One atom of each set of equivalent atoms:
Tb  0.0000  0.2300  0.2500  3 Nd 3.10-3.41, 2 Y 3.40
Tb  0.1537  0.1252  0.0584  1 Y 3.31, 5 Nd 3.42-3.53, 1 Tb 3.51
Nd  0.0000  0.0204  0.2500  3 Tb 3.10-3.43, 2 Nd 3.47
Nd  0.0000  0.2698  0.7500  3 Nd 3.12-3.42, 2 Tb 3.42
Nd  0.0000  0.4808  0.7500  3 Nd 3.12-3.45, 2 Y 3.44
Nd  0.2503  0.1275  0.7491  3 Tb 3.41-3.80, 3 Nd 3.42-3.47, 2 Y 3.77-3.79
Y  0.1548  0.3728  0.5586  3 Tb 3.31-3.50, 4 Nd 3.44-3.54

(4)
First-principles (GGA-PBE) data for crystalline Zn2Cu2Tc at its relaxed geometry, as listed in Alexandria via LeMat-Bulk.

V: 141 Å³/cell
Final energy: -3.766 eV/atom
Distance to the lowest polymorph of the same formula: 0.327 eV/atom
Magnetic moment: 0.002 μB/f.u.
Crystal system: tetragonal
Calculated formation energy: 0.4553 eV per atom

Lattice parameters (Å, degrees): 3.5830 3.5830 10.9503 90.00 90.00 90.00
Closest atoms and distances in Å follow each position.
Space group I4/mmm (No. 139)
One atom of each set of equivalent atoms:
Zn  0.0000  0.5000  0.2500  4 Cu 2.42, 4 Zn 2.53
Cu  0.0000  0.0000  0.1009  1 Cu 2.21, 4 Zn 2.42
Tc  0.0000  0.0000  0.5000  8 Cu 2.76

(5)
First-principles (GGA-PBE) data for crystalline LaHf2Ni2 at its relaxed geometry, as listed in Alexandria via LeMat-Bulk.

V: 189 Å³/cell
Final energy: -7.402 eV/atom
Distance to the lowest polymorph of the same formula: 0.154 eV/atom
Magnetic moment: 0.000 μB/f.u.
Crystal system: tetragonal
Calculated formation energy: -0.1221 eV per atom

Lattice parameters (Å, degrees): 7.8531 7.8531 3.0640 90.00 90.00 90.00
Closest atoms and distances in Å follow each position.
Space group P4/mbm (No. 127)
One atom of each set of equivalent atoms:
La  0.0000  0.0000  0.0000  4 Hf 3.01, 2 La 3.06
Hf  0.1454  0.3546  0.0000  6 Ni 2.70-2.85, 2 La 3.01
Ni  0.1381  0.6381  0.5000  6 Hf 2.70-2.85

(6)
First-principles (GGA-PBE) data for crystalline PuTl3In3Br8 at its relaxed geometry, as listed in Alexandria via LeMat-Bulk.

V: 1195 Å³/cell
Final energy: -3.759 eV/atom
Magnetic moment: 5.841 μB/f.u.
Crystal system: monoclinic

Lattice parameters (Å, degrees): 16.3598 9.4520 9.4571 90.00 125.19 90.00
Closest atoms and distances in Å follow each position.
Space group C2/m (No. 12)
One atom of each set of equivalent atoms:
Pu  0.0000  0.0000  0.0000  6 Br 3.00
Tl  0.0000  0.0000  0.5000  6 Br 3.36-3.38
Tl  0.2500  0.2500  0.5000  6 Br 3.36-3.38
In  0.0000  0.5000  0.0000  6 Br 3.33-3.34
In  0.2500  0.2500  0.0000  6 Br 3.33-3.34
Br  0.0012  0.2257  0.7778  1 Pu 3.00, 2 In 3.34
Br  0.2246  0.0000  0.2223  1 Pu 3.00, 2 In 3.34
Br  0.2489  0.5000  0.2468  3 In 3.33, 3 Tl 3.36

(7)
First-principles (GGA-PBE) data for crystalline PmZn2Ni4 at its relaxed geometry, as listed in Alexandria via LeMat-Bulk.

V: 200 Å³/cell
Final energy: -4.607 eV/atom
Distance to the lowest polymorph of the same formula: 0.000 eV/atom
Magnetic moment: 0.000 μB/f.u.
Crystal system: orthorhombic
Calculated formation energy: -0.2604 eV per atom

Lattice parameters (Å, degrees): 5.0350 6.2921 6.3129 90.00 90.00 90.00
Closest atoms and distances in Å follow each position.
Space group Immm (No. 71)
One atom of each set of equivalent atoms:
Pm  0.0000  0.0000  0.0000  12 Ni 2.75-3.04
Zn  0.2501  0.0000  0.5000  2 Zn 2.52, 8 Ni 2.61
Ni  0.0000  0.3084  0.3087  2 Ni 2.41-2.42, 4 Zn 2.61

(8)
First-principles (GGA-PBE) data for crystalline Li3CaGa at its relaxed geometry, as listed in Alexandria via LeMat-Bulk.

V: 222 Å³/cell
Final energy: -2.303 eV/atom
Distance to the lowest polymorph of the same formula: 0.000 eV/atom
Magnetic moment: 0.000 μB/f.u.
Crystal system: monoclinic
Calculated formation energy: -0.1492 eV per atom

Lattice parameters (Å, degrees): 6.8857 4.6696 6.9880 90.00 98.23 90.00
Closest atoms and distances in Å follow each position.
Space group P2_1/m (No. 11)
One atom of each set of equivalent atoms:
Li  0.0160  0.2500  0.3599  1 Li 2.62, 1 Ga 2.70
Li  0.1418  0.7500  0.0822  1 Ga 2.69
Li  0.3741  0.2500  0.2757  1 Li 2.62, 3 Ga 2.70-2.73
Ca  0.3271  0.2500  0.7724  8 Li 3.16-3.53, 3 Ga 3.19-3.20
Ga  0.3028  0.7500  0.4560  5 Li 2.69-2.73